SmGa3Ir | Alexandria | PBE-GGA | optimized geometry; symmetry = P4mm, No. 99; total energy = -5.072 eV/atom; Fermi-level density of states = 1.55 states/eV per cell; excess energy over the best structure of this formula in the dataset = 0.0 meV per atom; formation energy from the elements = -539 meV/atom; calculated volume = 98.35 Å³ per cell; size of the total moment = 0.00 μB/f.u.
1.0
4.3019 0.0000 0.0000
0.0000 4.3019 0.0000
0.0000 0.0000 5.3147
Sm Ga Ir
1 3 1
Cartesian
0.0000 0.0000 0.0000 Sm
0.0000 2.1509 2.5566 Ga
2.1509 0.0000 2.5566 Ga
2.1509 2.1509 4.1391 Ga
2.1509 2.1509 1.2595 Ir